No. 1
Compound: CaY2Cu
Source: the Alexandria database
Functional: GGA-PBEsol
Structure: relaxed

Cell lengths 5.230, 5.230, 5.230 Å; angles 60.00, 60.00, 60.00 degrees
Atoms (fractional coordinates):
1 Y 0.750 0.750 0.750
2 Cu 0.500 0.500 0.500
3 Y 0.250 0.250 0.250
4 Ca 0.000 0.000 0.000

Its space group is No. 225. Its total moment is 0.00 μB/f.u. Its energy relative to the lowest polymorph listed for this composition is 276.2 meV/atom. The formation enthalpy at 0 K is 241 meV per atom.

---

No. 2
Compound: Ca2ZnCu
Source: the Alexandria database
Functional: GGA-PBEsol
Structure: relaxed

Cell lengths 3.602, 4.978, 4.978 Å; angles 89.97, 90.04, 90.04 degrees
Atoms (fractional coordinates):
1 Ca 0.000 0.500 0.000
2 Cu 0.500 0.500 0.500
3 Zn 0.500 0.000 0.000
4 Ca 0.000 0.000 0.500

Its space group is No. 123. Its total moment is 0.00 μB/f.u. The formation enthalpy at 0 K is -88 meV per atom.

---

No. 3
Compound: CaZn2Cu2
Source: the Alexandria database
Functional: GGA-PBEsol
Structure: relaxed

Cell lengths 4.334, 4.334, 5.488 Å; angles 113.25, 113.25, 90.00 degrees
Atoms (fractional coordinates):
1 Ca 0.000 0.000 0.000
2 Cu 0.250 0.750 0.500
3 Cu 0.750 0.250 0.500
4 Zn 0.366 0.366 0.731
5 Zn 0.634 0.634 0.269

Its space group is No. 139. Its total moment is 0.00 μB/f.u. The formation enthalpy at 0 K is -114 meV per atom.

---

No. 4
Compound: Ca2ZnCu
Source: the Alexandria database
Functional: GGA-PBEsol
Structure: relaxed

Cell lengths 3.559, 3.558, 7.070 Å; angles 90.00, 89.99, 90.00 degrees
Atoms (fractional coordinates):
1 Cu 0.500 0.500 0.000
2 Ca 0.000 0.000 0.243
3 Ca 0.000 0.000 0.757
4 Zn 0.500 0.500 0.500

Its space group is No. 123. Its total moment is 0.00 μB/f.u. The formation enthalpy at 0 K is -95 meV per atom.

---

No. 5
Compound: Ca2ZnCu
Source: the Alexandria database
Functional: GGA-PBEsol
Structure: relaxed

Cell lengths 4.209, 4.192, 5.850 Å; angles 90.00, 111.07, 90.00 degrees
Atoms (fractional coordinates):
1 Zn 0.436 0.500 0.745
2 Ca 0.019 0.000 0.913
3 Ca 0.731 0.500 0.338
4 Cu 0.314 0.000 0.504

Its space group is No. 38. Its total moment is 0.00 μB/f.u. The formation enthalpy at 0 K is -158 meV per atom.

---

No. 6
Compound: CaZrCu2
Source: the Alexandria database
Functional: GGA-PBEsol
Structure: relaxed

Cell lengths 3.945, 3.945, 5.449 Å; angles 111.22, 111.22, 90.00 degrees
Last column: magnetic moment on the atom in μB.
Atoms (fractional coordinates):
1 Ca 0.750 0.250 0.500  0.06
2 Cu 0.000 0.000 0.000  0.04
3 Zr 0.500 0.500 0.000  0.34
4 Cu 0.250 0.750 0.500  0.04

Its space group is No. 119. Its total moment is 0.78 μB/f.u. The formation enthalpy at 0 K is 301 meV per atom.

---

No. 7
Compound: CaZrCu2
Source: the Alexandria database
Functional: GGA-PBEsol
Structure: relaxed

Cell lengths 3.224, 3.224, 7.317 Å; angles 90.00, 90.00, 90.00 degrees
Atoms (fractional coordinates):
1 Zr 0.000 0.000 0.428
2 Cu 0.000 0.000 0.064
3 Cu 0.500 0.500 0.208
4 Ca 0.500 0.500 0.800

Its space group is No. 99. Its total moment is 0.00 μB/f.u. The formation enthalpy at 0 K is 102 meV per atom.

---

No. 8
Compound: CaZrCu2
Source: the Alexandria database
Functional: GGA-PBEsol
Structure: relaxed

Cell lengths 3.151, 4.808, 4.808 Å; angles 90.00, 90.00, 90.00 degrees
Atoms (fractional coordinates):
1 Cu 0.000 0.500 0.000
2 Ca 0.500 0.500 0.500
3 Zr 0.500 0.000 0.000
4 Cu 0.000 0.000 0.500

Its space group is No. 123. Its total moment is 0.00 μB/f.u. The formation enthalpy at 0 K is 17 meV per atom.